Entry w
ZrTlPb2 | PBE | optimized geometry

space group	No. 71

a b c (Å): 6.5947 6.5947 6.5947
angles (deg): 149.83 130.23 59.31
Atoms (fractional coordinates):
Pb: 0.9826 0.9826 0.0000
Pb: 0.5174 0.5174 0.0000
Tl: 0.2500 0.7500 0.5000
Zr: 0.7500 0.2500 0.5000

***

Entry x
ZrTlPb2 | PBE | optimized geometry

space group	No. 65

a b c (Å): 5.7013 5.7013 3.3417
angles (deg): 90.00 90.00 99.68
Atoms (fractional coordinates):
Pb: 0.0000 0.0000 0.0000
Pb: 0.5000 0.5000 0.0000
Tl: 0.5000 0.0000 0.5000
Zr: 0.0000 0.5000 0.5000

***

Unit: kJ/mol of atoms. Relative energies: entry w 3.7; entry x 0.0.

***

Entry w
Zr2TlPb2 | PBE | optimized geometry

space group	No. 127

a b c (Å): 7.8427 7.8427 4.1858
angles (deg): 90.00 90.00 90.00
Atoms (fractional coordinates):
Pb: 0.1633 0.6633 0.5000
Pb: 0.6633 0.8367 0.5000
Pb: 0.8367 0.3367 0.5000
Pb: 0.3367 0.1633 0.5000
Tl: 0.0000 0.0000 0.0000
Tl: 0.5000 0.5000 0.0000
Zr: 0.3594 0.8594 0.0000
Zr: 0.8594 0.6406 0.0000
Zr: 0.6406 0.1406 0.0000
Zr: 0.1406 0.3594 0.0000

***

Entry x
Zr2TlPb2 | PBE | optimized geometry

space group	No. 127

a b c (Å): 9.0983 9.0983 3.2441
angles (deg): 90.00 90.00 90.00
Atoms (fractional coordinates):
Pb: 0.3310 0.8310 0.0000
Pb: 0.8310 0.6690 0.0000
Pb: 0.6690 0.1690 0.0000
Pb: 0.1690 0.3310 0.0000
Tl: 0.0000 0.0000 0.0000
Tl: 0.5000 0.5000 0.0000
Zr: 0.1240 0.6240 0.5000
Zr: 0.6240 0.8760 0.5000
Zr: 0.8760 0.3760 0.5000
Zr: 0.3760 0.1240 0.5000

***

Unit: kJ/mol of atoms. Relative energies: entry w 0.0; entry x 10.0.

***

Entry w
TmPb5 | PBE | optimized geometry

space group	No. 65

a b c (Å): 4.6989 4.7987 8.3051
angles (deg): 106.79 90.00 90.00
Atoms (fractional coordinates):
Pb: 0.0000 0.6570 0.3140
Pb: 0.0000 0.3430 0.6860
Pb: 0.5000 0.5000 0.0000
Pb: 0.5000 0.1665 0.3330
Pb: 0.5000 0.8335 0.6670
Tm: 0.0000 0.0000 0.0000

***

Entry x
TmPb5 | PBE | optimized geometry

space group	No. 65

a b c (Å): 5.7915 5.6589 6.2578
angles (deg): 90.00 117.56 90.00
Atoms (fractional coordinates):
Tm: 0.9722 0.0000 0.9444
Pb: 0.8172 0.5000 0.6344
Pb: 0.6498 0.0000 0.2996
Pb: 0.4722 0.5000 0.9445
Pb: 0.2946 0.0000 0.5893
Pb: 0.1273 0.5000 0.2545

***

Unit: kJ/mol of atoms. Relative energies: entry w 0.0; entry x 5.0.

***

Entry w
Y2TmPb | PBE | optimized geometry

space group	No. 123

a b c (Å): 4.8419 4.8689 4.8689
angles (deg): 90.00 90.00 90.00
Atoms (fractional coordinates):
Pb: 0.5000 0.0000 0.0000
Y: 0.0000 0.0000 0.5000
Y: 0.0000 0.5000 0.0000
Tm: 0.5000 0.5000 0.5000

***

Entry x
Y2TmPb | PBE | optimized geometry

space group	No. 166

a b c (Å): 3.5354 3.5354 12.1439
angles (deg): 81.63 81.63 60.00
Atoms (fractional coordinates):
Pb: 0.0000 0.0000 0.0000
Y: 0.0883 0.0883 0.7350
Y: 0.9117 0.9117 0.2650
Tm: 0.5000 0.5000 0.5000

***

Entry y
Y2TmPb | PBE | optimized geometry

space group	No. 160

a b c (Å): 5.1815 5.1815 6.5051
angles (deg): 66.53 66.53 60.00
Atoms (fractional coordinates):
Y: 0.0562 0.0562 0.8314
Y: 0.2722 0.2722 0.1835
Tm: 0.4897 0.4897 0.5308
Pb: 0.6819 0.6819 0.9544

***

Entry z
Y2TmPb | PBE | optimized geometry

space group	No. 123

a b c (Å): 3.6457 3.6457 9.1051
angles (deg): 90.00 90.00 90.00
Atoms (fractional coordinates):
Pb: 0.5000 0.5000 0.0000
Y: 0.0000 0.0000 0.7630
Y: 0.0000 0.0000 0.2370
Tm: 0.5000 0.5000 0.5000

***

Unit: kJ/mol of atoms. Relative energies: entry w 0.0; entry x 30.3; entry y 28.8; entry z 4.6.

***

Entry w
YTm3Pb2 | PBE | optimized geometry

space group	No. 12

a b c (Å): 4.5172 10.4793 9.5365
angles (deg): 125.01 90.00 102.45
Atoms (fractional coordinates):
Y: 0.8866 0.7732 0.8951
Y: 0.1134 0.2268 0.1049
Tm: 0.3083 0.6167 0.5077
Tm: 0.9428 0.8856 0.5714
Tm: 0.6440 0.2879 0.8009
Tm: 0.3560 0.7121 0.1991
Tm: 0.0572 0.1144 0.4286
Tm: 0.6917 0.3833 0.4923
Pb: 0.4935 0.9870 0.8315
Pb: 0.5065 0.0130 0.1685
Pb: 0.7522 0.5044 0.2197
Pb: 0.2478 0.4956 0.7803

***

Entry x
YTm3Pb2 | PBE | optimized geometry

space group	No. 115

a b c (Å): 4.5392 4.5392 8.4303
angles (deg): 90.00 90.00 90.00
Atoms (fractional coordinates):
Y: 0.5000 0.5000 0.0000
Tm: 0.5000 0.0000 0.3392
Tm: 0.0000 0.5000 0.6608
Tm: 0.0000 0.0000 0.0000
Pb: 0.5000 0.0000 0.7135
Pb: 0.0000 0.5000 0.2865

***

Unit: kJ/mol of atoms. Relative energies: entry w 8.5; entry x 0.0.

***

Entry w
TmZn2Pb | PBE | optimized geometry

space group	No. 123

a b c (Å): 4.4129 4.3942 4.3942
angles (deg): 90.00 90.00 90.00
Atoms (fractional coordinates):
Pb: 0.5000 0.0000 0.0000
Zn: 0.0000 0.0000 0.5000
Zn: 0.0000 0.5000 0.0000
Tm: 0.5000 0.5000 0.5000

***

Entry x
TmZn2Pb | PBE | optimized geometry

space group	No. 166

a b c (Å): 4.6060 4.6060 5.6197
angles (deg): 65.81 65.81 60.00
Atoms (fractional coordinates):
Pb: 0.5000 0.5000 0.5000
Zn: 0.7557 0.7557 0.7328
Zn: 0.2443 0.2443 0.2672
Tm: 0.0000 0.0000 0.0000

***

Unit: kJ/mol of atoms. Relative energies: entry w 0.0; entry x 14.5.

***

Entry w
Tm3ZnPb2 | PBE | optimized geometry

space group	No. 15

a b c (Å): 6.2591 6.4588 8.5577
angles (deg): 101.74 111.45 90.00
Atoms (fractional coordinates):
Tm: 0.6539 0.2500 0.0000
Tm: 0.3461 0.7500 0.0000
Tm: 0.2647 0.0961 0.3299
Tm: 0.9348 0.4039 0.6701
Tm: 0.0652 0.5961 0.3299
Tm: 0.7353 0.9039 0.6701
Zn: 0.8734 0.7500 0.0000
Zn: 0.1266 0.2500 0.0000
Pb: 0.5609 0.5517 0.3205
Pb: 0.7596 0.0517 0.3205
Pb: 0.2404 0.9483 0.6795
Pb: 0.4391 0.4483 0.6795

***

Entry x
Tm3ZnPb2 | PBE | optimized geometry

space group	No. 62

a b c (Å): 4.5140 11.6257 12.0724
angles (deg): 90.00 90.00 90.00
Atoms (fractional coordinates):
Tm: 0.2500 0.3701 0.0476
Tm: 0.7500 0.6299 0.9524
Tm: 0.7500 0.8701 0.4524
Tm: 0.2500 0.1299 0.5476
Tm: 0.2500 0.7009 0.2174
Tm: 0.7500 0.2991 0.7826
Tm: 0.7500 0.2009 0.2826
Tm: 0.2500 0.7991 0.7174
Tm: 0.2500 0.4324 0.3607
Tm: 0.7500 0.5676 0.6393
Tm: 0.7500 0.9324 0.1393
Tm: 0.2500 0.0676 0.8607
Zn: 0.2500 0.1420 0.1443
Zn: 0.7500 0.8580 0.8557
Zn: 0.7500 0.6420 0.3557
Zn: 0.2500 0.3580 0.6443
Pb: 0.2500 0.6755 0.4921
Pb: 0.7500 0.3245 0.5079
Pb: 0.7500 0.1755 0.0079
Pb: 0.2500 0.8245 0.9921
Pb: 0.2500 0.9888 0.3203
Pb: 0.7500 0.0112 0.6797
Pb: 0.7500 0.4888 0.1797
Pb: 0.2500 0.5112 0.8203

***

Unit: kJ/mol of atoms. Relative energies: entry w 7.4; entry x 0.0.

***

Entry w
Tm2ZrPb | PBE | optimized geometry

space group	No. 160

a b c (Å): 3.4868 3.4868 10.6445
angles (deg): 80.57 80.57 60.00
Atoms (fractional coordinates):
Tm: 0.0845 0.0845 0.7464
Tm: 0.2490 0.2490 0.2529
Zr: 0.4998 0.4998 0.5007
Pb: 0.6666 0.6666 0.0000

***

Entry x
Tm2ZrPb | PBE | optimized geometry

space group	No. 123

a b c (Å): 4.6356 4.7149 4.7149
angles (deg): 90.00 90.00 90.00
Atoms (fractional coordinates):
Pb: 0.5000 0.0000 0.0000
Tm: 0.0000 0.0000 0.5000
Tm: 0.0000 0.5000 0.0000
Zr: 0.5000 0.5000 0.5000

***

Entry y
Tm2ZrPb | PBE | optimized geometry

space group	No. 123

a b c (Å): 3.3792 3.3792 9.4700
angles (deg): 90.00 90.00 90.00
Atoms (fractional coordinates):
Pb: 0.5000 0.5000 0.0000
Tm: 0.0000 0.0000 0.7451
Tm: 0.0000 0.0000 0.2549
Zr: 0.5000 0.5000 0.5000

***

Unit: kJ/mol of atoms. Relative energies: entry w 4.8; entry x 0.8; entry y 0.0.

***

Entry w
TmZr2Pb | PBE | optimized geometry

space group	No. 123

a b c (Å): 4.6343 4.5733 4.5733
angles (deg): 90.00 90.00 90.00
Atoms (fractional coordinates):
Pb: 0.5000 0.5000 0.5000
Tm: 0.5000 0.0000 0.0000
Zr: 0.0000 0.0000 0.5000
Zr: 0.0000 0.5000 0.0000

***

Entry x
TmZr2Pb | PBE | optimized geometry

space group	No. 11

a b c (Å): 4.4084 4.3987 10.8814
angles (deg): 101.63 90.00 90.00
Atoms (fractional coordinates):
Tm: 0.2500 0.3120 0.6232
Tm: 0.7500 0.6880 0.3768
Zr: 0.7500 0.4459 0.8915
Zr: 0.2500 0.5541 0.1085
Zr: 0.2500 0.9476 0.8950
Zr: 0.7500 0.0524 0.1050
Pb: 0.7500 0.8364 0.6719
Pb: 0.2500 0.1636 0.3281

***

Entry y
TmZr2Pb | PBE | optimized geometry

space group	No. 160

a b c (Å): 3.3681 3.3681 10.5967
angles (deg): 80.86 80.86 60.00
Atoms (fractional coordinates):
Tm: 0.4999 0.4999 0.5002
Zr: 0.0822 0.0822 0.7534
Zr: 0.2513 0.2513 0.2460
Pb: 0.6665 0.6665 0.0005

***

Unit: kJ/mol of atoms. Relative energies: entry w 16.1; entry x 0.0; entry y 31.9.